# 1
{
  "formula": "BaPCl2",
  "functional": "meta-GGA SCAN",
  "state": "PBEsol geometry",
  "cell": [[6.1233, -2.0981, 0.0000], [6.1233, 2.0981, 0.0000], [-0.9954, 0.0000, 4.3090]],
  "species": ["Ba", "P", "Cl", "Cl"],
  "fractional_positions": [[0.0000, 0.0000, 0.0000], [0.7229, 0.7229, 0.9312], [0.1969, 0.1969, 0.6871], [0.4427, 0.4427, 0.4513]],
  "relative_energy_mev_per_atom": 65,
  "spacegroup": "Cm, No. 8"
}

# 2
{
  "formula": "BaPCl2",
  "functional": "meta-GGA SCAN",
  "state": "PBEsol geometry",
  "cell": [[2.7628, 1.5951, 3.7008], [-2.7628, 1.5951, 3.7008], [0.0000, -3.1902, 3.7008]],
  "species": ["Ba", "P", "Cl", "Cl"],
  "fractional_positions": [[0.0000, 0.0000, 0.0000], [0.5000, 0.5000, 0.5000], [0.2864, 0.2864, 0.2864], [0.7136, 0.7136, 0.7136]],
  "relative_energy_mev_per_atom": 0,
  "spacegroup": "R-3m, No. 166"
}

# 3
{
  "formula": "BaP2PbCl",
  "functional": "meta-GGA SCAN",
  "state": "PBEsol geometry",
  "cell": [[5.5415, 0.0000, 0.0000], [0.0000, 5.5415, 0.0000], [0.0000, 0.0000, 5.5820]],
  "species": ["Ba", "P", "P", "Pb", "Cl"],
  "fractional_positions": [[0.0000, 0.0000, 0.0000], [0.0000, 0.5000, 0.0000], [0.5000, 0.0000, 0.0000], [0.5000, 0.5000, 0.5000], [0.0000, 0.0000, 0.5000]],
  "spacegroup": "P4/mmm, No. 123"
}

no.,E_tot (eV/cell),uncorrected formation energy (meV/atom)
1,-70.810,-1226
2,-71.072,-1292
3,-142.037,414